Entry 1:
Entry from the Alexandria database: crystalline Ti2AgN3 at its relaxed geometry (PBE-GGA).

a b c (Å): 3.0617 3.0617 26.0319
angles (deg): 90.00 90.00 120.00
Closest atoms and distances in Å follow each position.
Space group P3_121 (No. 152)
Symmetry-distinct sites (fractional):
Ti 0.0059 0.3330 0.3845 x6  6 N 1.98-2.21
Ag 0.0000 0.3311 0.1667 x3  2 N 2.12
N 0.0000 0.3392 0.6667 x3  6 Ti 2.21
N 0.0060 0.3336 0.2479 x6  3 Ti 1.98, 1 Ag 2.12

Values from the calculation:
Electronic total energy ... -8.231 eV/atom
Formation energy (no corrections) ... -0.961 eV/atom
Spin magnetization ... 0.000 μB per cell
Mass density ... 5.8 Mg/m³

Entry 2:
Entry from the Alexandria database: crystalline TiAgN3 at its relaxed geometry (PBE-GGA).

a b c (Å): 3.9184 3.9184 3.9184
angles (deg): 90.00 90.00 90.00
Closest atoms and distances in Å follow each position.
Space group Pm-3m (No. 221)
Symmetry-distinct sites (fractional):
Ti 0.0000 0.0000 0.0000 x1  12 N 2.77
Ag 0.5000 0.5000 0.5000 x1  6 N 1.96
N 0.0000 0.5000 0.5000 x3  2 Ag 1.96

Values from the calculation:
Density of states at the Fermi level ... 3.90 states/eV/f.u.
Electronic total energy ... -5.242 eV/atom
Formation energy (no corrections) ... 1.903 eV/atom
Spin magnetization ... 0.001 μB per cell
Mass density ... 5.5 Mg/m³